Entry 1:
{"formula": "Na2PtI4", "functional": "PBE", "state": "relaxed", "total_energy_ev_per_atom": -2.84, "e_form_raw_ev_per_atom": -0.71, "cell": [[7.8474, 0.0000, 0.0000], [0.0000, 7.8474, 0.0000], [-3.9237, -3.9237, 4.3069]], "species": ["Na", "Na", "Pt", "I", "I", "I", "I"], "fractional_positions": [[0.7500, 0.2500, 0.5000], [0.2500, 0.7500, 0.5000], [0.5000, 0.5000, 0.0000], [0.7422, 0.2684, 0.0106], [0.2684, 0.7422, 0.0106], [0.7316, 0.7316, 0.9894], [0.2578, 0.2578, 0.9894]]}

---

Entry 2:
{"formula": "TbPrSm2Dy2", "functional": "PBE", "state": "relaxed", "formation_energy_mev_per_atom": 265, "total_energy_ev_per_atom": -4.41, "cell": [[-0.2260, 0.4962, -3.3749], [-1.1688, -6.4216, -0.8658], [-17.7800, 3.0159, 1.6341]], "species": ["Tb", "Tb", "Pr", "Pr", "Sm", "Sm", "Sm", "Sm", "Dy", "Dy", "Dy", "Dy"], "fractional_positions": [[0.5000, 0.5000, 0.0000], [0.0000, 0.0000, 0.5000], [0.0000, 0.0000, 0.0000], [0.5000, 0.5000, 0.5000], [0.5000, 0.2807, 0.3124], [0.0000, 0.7807, 0.1876], [0.5000, 0.7193, 0.6876], [0.0000, 0.2193, 0.8124], [0.5000, 0.7835, 0.3531], [0.5000, 0.2165, 0.6469], [0.0000, 0.7165, 0.8531], [0.0000, 0.2835, 0.1469]]}

---

Entry 3:
{"formula": "BaNa2AgO", "functional": "PBE", "state": "relaxed", "total_energy_ev_per_atom": -3.31, "e_form_raw_ev_per_atom": -0.84, "cell": [[4.9084, 0.0000, 0.0000], [0.0000, 4.9084, 0.0000], [0.0000, 0.0000, 5.2934]], "species": ["O", "Na", "Na", "Ba", "Ag"], "fractional_positions": [[0.0000, 0.0000, 0.0000], [0.0000, 0.5000, 0.0000], [0.5000, 0.0000, 0.0000], [0.0000, 0.0000, 0.5000], [0.5000, 0.5000, 0.5000]]}

---

Entry 4:
{"formula": "KZn2P", "functional": "PBE", "state": "relaxed", "formation_energy_mev_per_atom": 102, "total_energy_ev_per_atom": -2.16, "cell": [[5.7932, -0.0443, -0.0005], [1.5423, 5.5843, 0.0005], [-2.8037, -3.9141, 3.2221]], "species": ["K", "P", "Zn", "Zn"], "fractional_positions": [[0.7500, 0.2500, 0.5000], [0.2500, 0.7500, 0.5000], [0.0841, 0.0841, 0.0000], [0.4159, 0.4159, 0.0000]]}

---

Entry 5:
{"formula": "Sc2Pd3Pt3", "functional": "PBE", "state": "relaxed", "formation_energy_mev_per_atom": -952, "total_energy_ev_per_atom": -6.75, "cell": [[4.0033, 0.0000, 0.0000], [0.0000, 4.0019, 0.0000], [0.0000, 0.0000, 8.0235]], "species": ["Sc", "Sc", "Pd", "Pd", "Pd", "Pt", "Pt", "Pt"], "fractional_positions": [[0.0000, 0.0000, 0.7494], [0.0000, 0.0000, 0.2506], [0.5000, 0.5000, 0.7508], [0.5000, 0.5000, 0.2492], [0.5000, 0.0000, 0.0000], [0.5000, 0.0000, 0.5000], [0.0000, 0.5000, 0.0000], [0.0000, 0.5000, 0.5000]]}

---

Entry 6:
{"formula": "IrRh4Au", "functional": "PBE", "state": "relaxed", "formation_energy_mev_per_atom": 520, "total_energy_ev_per_atom": -6.40, "cell": [[0.0000, 3.6071, 3.6071], [3.6071, 0.0000, 3.6071], [3.6071, 3.6071, 0.0000]], "species": ["Ir", "Rh", "Rh", "Rh", "Rh", "Au"], "fractional_positions": [[0.0000, 0.0000, 0.0000], [0.8753, 0.3749, 0.3749], [0.3749, 0.3749, 0.8753], [0.3749, 0.8753, 0.3749], [0.3749, 0.3749, 0.3749], [0.7500, 0.7500, 0.7500]]}

---

Entry 7:
{"formula": "YSc3Al8", "functional": "PBE", "state": "relaxed", "formation_energy_mev_per_atom": -485, "polymorph_energy_mev_per_atom": 7, "total_energy_ev_per_atom": -5.10, "cell": [[5.4079, 0.0000, 0.0000], [-2.7040, 4.6834, 0.0000], [0.0000, 0.0000, 8.8613]], "species": ["Y", "Sc", "Sc", "Sc", "Al", "Al", "Al", "Al", "Al", "Al", "Al", "Al"], "fractional_positions": [[0.0000, 0.0000, 0.5669], [0.6667, 0.3333, 0.4279], [0.6667, 0.3333, 0.0669], [0.0000, 0.0000, 0.9344], [0.3333, 0.6667, 0.4990], [0.3333, 0.6667, 0.0015], [0.5047, 0.0094, 0.7546], [0.5047, 0.4953, 0.7546], [0.9906, 0.4953, 0.7546], [0.1620, 0.3240, 0.2466], [0.1620, 0.8380, 0.2466], [0.6760, 0.8380, 0.2466]]}

---

Entry 8:
{"formula": "AcSmErPb", "functional": "PBE", "state": "relaxed", "formation_energy_mev_per_atom": -61, "total_energy_ev_per_atom": -4.34, "cell": [[-3.8928, 2.8610, -2.9018], [-4.7502, 1.6606, 2.5373], [-0.8604, 5.4656, 1.0706]], "species": ["Pb", "Ac", "Sm", "Er"], "fractional_positions": [[0.2500, 0.2500, 0.2500], [0.7500, 0.7500, 0.7500], [0.5000, 0.5000, 0.5000], [0.0000, 0.0000, 0.0000]]}

---

Entry 9:
{"formula": "Ho2Ni3P2", "functional": "PBE", "state": "relaxed", "formation_energy_mev_per_atom": -909, "total_energy_ev_per_atom": -6.24, "cell": [[3.6653, 0.0000, 0.0000], [-1.8327, 4.9417, -0.3090], [0.0000, -2.6506, 6.0829]], "species": ["Ho", "Ho", "Ni", "Ni", "Ni", "P", "P"], "fractional_positions": [[0.8683, 0.7365, 0.2321], [0.1317, 0.2635, 0.7679], [0.5000, 0.0000, 0.0000], [0.6382, 0.2764, 0.4283], [0.3618, 0.7236, 0.5717], [0.8486, 0.6972, 0.7808], [0.1514, 0.3028, 0.2192]]}

---

Entry 10:
{"formula": "Mn2CoRe", "functional": "PBE", "state": "relaxed", "formation_energy_mev_per_atom": 213, "total_energy_ev_per_atom": -9.26, "cell": [[8.4023, 0.0024, 0.0014], [7.9984, 2.5735, 0.0014], [7.9984, 1.2563, 2.2461]], "species": ["Co", "Mn", "Mn", "Re"], "fractional_positions": [[0.7500, 0.7500, 0.7500], [0.0040, 0.0040, 0.0040], [0.4960, 0.4960, 0.4960], [0.2500, 0.2500, 0.2500]]}

---

Entry 11:
{"formula": "Sm6Tl4Pb7", "functional": "PBE", "state": "relaxed", "formation_energy_mev_per_atom": -162, "total_energy_ev_per_atom": -3.91, "cell": [[-6.5796, 4.8692, -3.3532], [0.4347, -7.7233, -4.2901], [-1.5082, -1.4792, 8.5896]], "species": ["Sm", "Sm", "Sm", "Sm", "Sm", "Sm", "Tl", "Tl", "Tl", "Tl", "Pb", "Pb", "Pb", "Pb", "Pb", "Pb", "Pb"], "fractional_positions": [[0.7064, 0.0000, 0.7064], [0.7064, 0.7064, 0.0000], [0.0000, 0.2936, 0.2936], [0.2936, 0.0000, 0.2936], [0.2936, 0.2936, 0.0000], [0.0000, 0.7064, 0.7064], [0.5000, 0.0000, 0.0000], [0.5000, 0.5000, 0.5000], [0.0000, 0.5000, 0.0000], [0.0000, 0.0000, 0.5000], [0.7500, 0.5000, 0.2500], [0.2500, 0.7500, 0.5000], [0.5000, 0.7500, 0.2500], [0.7500, 0.2500, 0.5000], [0.2500, 0.5000, 0.7500], [0.5000, 0.2500, 0.7500], [0.0000, 0.0000, 0.0000]]}

---

Entry 12:
{"formula": "Pu2MgNi3As4", "functional": "PBE", "state": "relaxed", "formation_energy_mev_per_atom": -616, "total_energy_ev_per_atom": -7.24, "cell": [[4.2144, 0.0000, 0.0000], [0.0000, 4.2144, 0.0000], [0.0000, 0.0000, 9.8831]], "species": ["Pu", "Pu", "Mg", "Ni", "Ni", "Ni", "As", "As", "As", "As"], "fractional_positions": [[0.5000, 0.0000, 0.2301], [0.0000, 0.5000, 0.7699], [0.5000, 0.5000, 0.5000], [0.0000, 0.0000, 0.5000], [0.5000, 0.0000, 0.8900], [0.0000, 0.5000, 0.1100], [0.5000, 0.5000, 0.0000], [0.0000, 0.0000, 0.0000], [0.5000, 0.0000, 0.6524], [0.0000, 0.5000, 0.3476]]}

---

Entry 13:
{"formula": "IrPdIO2", "functional": "PBE", "state": "relaxed", "polymorph_energy_mev_per_atom": 0, "total_energy_ev_per_atom": -5.29, "e_form_raw_ev_per_atom": -0.19, "cell": [[3.7581, 0.0000, 0.0000], [0.0000, 3.7581, 0.0000], [0.0000, 0.0000, 8.5640]], "species": ["I", "Ir", "O", "O", "Pd"], "fractional_positions": [[0.0000, 0.0000, 0.5000], [0.0000, 0.0000, 0.0000], [0.0000, 0.5000, 0.0000], [0.5000, 0.0000, 0.0000], [0.5000, 0.5000, 0.5000]]}

---

Entry 14:
{"formula": "SrCu4Ge2", "functional": "PBE", "state": "relaxed", "formation_energy_mev_per_atom": -203, "polymorph_energy_mev_per_atom": 10, "total_energy_ev_per_atom": -4.10, "cell": [[6.3438, 0.2387, -2.2071], [-3.2097, 5.4383, -2.3011], [0.1409, -0.2387, 6.7153]], "species": ["Sr", "Sr", "Ge", "Ge", "Ge", "Ge", "Cu", "Cu", "Cu", "Cu", "Cu", "Cu", "Cu", "Cu"], "fractional_positions": [[0.0000, 0.2500, 0.2500], [0.0000, 0.7500, 0.7500], [0.8133, 0.1567, 0.6567], [0.1867, 0.8433, 0.3433], [0.5000, 0.6567, 0.8433], [0.5000, 0.3433, 0.1567], [0.7812, 0.8038, 0.3038], [0.2188, 0.5226, 0.0226], [0.5000, 0.3038, 0.5226], [0.5000, 0.0226, 0.8038], [0.5000, 0.9774, 0.1962], [0.5000, 0.6962, 0.4774], [0.7812, 0.4774, 0.9774], [0.2188, 0.1962, 0.6962]]}